# 1
Ba2PuO2F4: optimized geometry, PBE.

The uncorrected energy comes out at -66.024 eV/cell. The calculation puts the uncorrected formation energy at -30.44 eV/f.u. The density of states at the Fermi level comes out at 0.441 states/eV per atom.

Lattice parameters (Å, degrees): 4.3883 6.3094 6.3094 62.91 88.00 88.00
Site moments in Bohr magnetons follow the coordinates.
Fractional coordinates of all 9 atoms:
Ba  0.2235  0.6665  0.6665  0.00
Ba  0.7765  0.3335  0.3335  0.00
Pu  0.5000  0.0000  0.0000  4.19
O  0.2662  0.1636  0.1636  -0.11
O  0.7338  0.8364  0.8364  -0.11
F  0.2598  0.6309  0.2036  -0.01
F  0.7402  0.7964  0.3691  -0.01
F  0.7402  0.3691  0.7964  -0.01
F  0.2598  0.2036  0.6309  -0.01

=====

# 2
Zr6BiN: optimized geometry, PBE.

The uncorrected energy comes out at -67.232 eV/cell. The calculation puts the uncorrected formation energy at -3.74 eV/f.u. The density of states at the Fermi level comes out at 0.665 states/eV per atom.

Lattice parameters (Å, degrees): 5.4146 6.5856 5.7934 75.42 81.85 57.71
Fractional coordinates of all 8 atoms:
Zr  0.0790  0.3061  0.7612
Zr  0.8563  0.9220  0.6998
Zr  0.5419  0.2494  0.1009
Zr  0.1437  0.0780  0.3002
Zr  0.9210  0.6939  0.2388
Zr  0.4581  0.7506  0.8991
Bi  0.5000  0.5000  0.5000
N  0.0000  0.0000  0.0000

=====

# 3
LaTh: optimized geometry, PBE.

The uncorrected energy comes out at -12.245 eV/cell. The density of states at the Fermi level comes out at 1.553 states/eV per atom. For the energy of formation, the calculation gives 0.05 eV/atom. As for the distance to the lowest polymorph of the same formula: 36 meV per atom.

Lattice parameters (Å, degrees): 6.3247 6.3247 6.3247 33.07 33.07 33.07
Fractional coordinates of all 2 atoms:
Th  0.5000  0.5000  0.5000
La  0.0000  0.0000  0.0000

=====

# 4
CaAgP2Cl: optimized geometry, PBE.

The uncorrected energy comes out at -15.104 eV/cell. The calculation puts the uncorrected formation energy at 2.41 eV/f.u. The density of states at the Fermi level comes out at 0.424 states/eV per atom. As for the distance to the lowest polymorph of the same formula: 462 meV per atom.

Lattice parameters (Å, degrees): 5.4522 5.4522 5.1564 90.00 90.00 90.00
Site moments in Bohr magnetons follow the coordinates.
Fractional coordinates of all 5 atoms:
P  0.0000  0.5000  0.0000  0.37
P  0.5000  0.0000  0.0000  0.37
Ca  0.0000  0.0000  0.0000  0.01
Ag  0.5000  0.5000  0.5000  0.00
Cl  0.0000  0.0000  0.5000  0.12

=====

# 5
V2PdPt6: optimized geometry, PBE.

The uncorrected energy comes out at -62.644 eV/cell. The density of states at the Fermi level comes out at 1.019 states/eV per atom. For the energy of formation, the calculation gives -0.33 eV/atom.

Lattice parameters (Å, degrees): 2.7791 7.5176 7.5176 120.00 90.00 90.00
Site moments in Bohr magnetons follow the coordinates.
Fractional coordinates of all 9 atoms:
V  0.0000  0.6667  0.3333  0.18
V  0.0000  0.3333  0.6667  0.18
Pd  0.5000  0.0001  0.0001  0.01
Pt  0.5000  0.3664  0.3664  0.01
Pt  0.5000  0.6337  0.9999  0.01
Pt  0.5000  0.9999  0.6337  0.01
Pt  0.0000  0.6869  0.6869  0.00
Pt  0.0000  0.3131  0.0000  0.00
Pt  0.0000  0.0000  0.3131  0.00

=====

# 6
ZrCo2ReB: optimized geometry, PBE.

The uncorrected energy comes out at -43.152 eV/cell. The density of states at the Fermi level comes out at 0.711 states/eV per atom. For the energy of formation, the calculation gives -0.25 eV/atom.

Lattice parameters (Å, degrees): 3.9333 3.9333 4.1724 90.00 90.00 90.00
Site moments in Bohr magnetons follow the coordinates.
Fractional coordinates of all 5 atoms:
Re  0.0000  0.0000  0.5000  0.07
B  0.0000  0.0000  0.0000  -0.02
Co  0.0000  0.5000  0.0000  0.44
Co  0.5000  0.0000  0.0000  0.44
Zr  0.5000  0.5000  0.5000  -0.06

=====

# 7
Tb2ZnTe: optimized geometry, PBE.

The uncorrected energy comes out at -16.455 eV/cell. The calculation puts the uncorrected formation energy at -2.78 eV/f.u. The density of states at the Fermi level comes out at 0.761 states/eV per atom. As for the distance to the lowest polymorph of the same formula: 125 meV per atom.

Lattice parameters (Å, degrees): 3.8399 3.8399 6.8395 90.00 90.00 90.00
Fractional coordinates of all 4 atoms:
Zn  0.5000  0.5000  0.0000
Te  0.5000  0.5000  0.5000
Tb  0.0000  0.0000  0.7577
Tb  0.0000  0.0000  0.2423

=====

# 8
CdMo2Os2: optimized geometry, PBE.

The uncorrected energy comes out at -86.953 eV/cell. The density of states at the Fermi level comes out at 0.483 states/eV per atom. For the energy of formation, the calculation gives 0.31 eV/atom. As for the distance to the lowest polymorph of the same formula: 107 meV per atom.

Lattice parameters (Å, degrees): 7.7472 7.7472 2.8279 90.00 90.00 90.00
Fractional coordinates of all 10 atoms:
Mo  0.3530  0.8530  0.0000
Mo  0.8530  0.6470  0.0000
Mo  0.6470  0.1470  0.0000
Mo  0.1470  0.3530  0.0000
Os  0.1414  0.6414  0.5000
Os  0.6414  0.8586  0.5000
Os  0.8586  0.3586  0.5000
Os  0.3586  0.1414  0.5000
Cd  0.0000  0.0000  0.0000
Cd  0.5000  0.5000  0.0000